## HfCoP3 (SCAN)

Data for a crystal of HfCoP3 relaxed with PBEsol.

Structure (POSCAR):
```
HfCoP3
1.0
4.8531 0.0000 0.0000
0.0000 4.8531 0.0000
0.0000 0.0000 4.8531
Hf P Co
1 3 1
Cartesian
0.0000 0.0000 0.0000
0.0000 0.0000 2.4266
2.4266 0.0000 0.0000
0.0000 2.4266 0.0000
2.4266 2.4266 2.4266
```

Properties
The value obtained for the mass density is 4.8 g/cm³. As for the total energy: -106.89 eV/cell. As for the formation energy from the elements: 0.86 eV/atom. The magnetization is 2.4 μB per formula unit.